VASP calculation (GGA-PBE) on a relaxed LiOsCl2 crystal.

**ΔE_f (raw)**: 0.1022 eV/atom
**Size of the total moment**: 0.000 μB/f.u.
**DFT total energy**: -4.11 eV/atom
**Crystal system**: tetragonal

The structure in CIF format:
```
data_LiOsCl2
_chemical_formula_sum 'Li1 Os1 Cl2'
_cell_length_a 3.153
_cell_length_b 3.153
_cell_length_c 7.814
_cell_angle_alpha 90.00
_cell_angle_beta 90.00
_cell_angle_gamma 90.00
_symmetry_space_group_name_H-M 'P 1'
_symmetry_Int_Tables_number 1
loop_
_symmetry_equiv_pos_as_xyz
'x,y,z'
loop_
_atom_site_label
_atom_site_type_symbol
_atom_site_fract_x
_atom_site_fract_y
_atom_site_fract_z
Li1 Li 0.000 0.000 0.437
Cl1 Cl 0.500 0.500 0.358
Cl2 Cl 0.000 0.000 0.910
Os1 Os 0.500 0.500 0.795
```